1.
Material: Ba2CoRu
Method: DFT, GGA-PBE
State: optimized geometry

Its space group is Cmmm, No. 65. For the formation energy, the calculation gives 867 meV/atom. The total energy is -16.8 eV per cell. The value obtained for the offset from the most stable computed form is 0.666 eV per atom. For the size of the total moment, the calculation gives 2.5 Bohr magnetons per cell.

Cell and atoms, written as CIF:
```
data_Ba2CoRu
_chemical_formula_sum 'Ba2 Co1 Ru1'
_cell_length_a 3.755
_cell_length_b 3.755
_cell_length_c 7.930
_cell_angle_alpha 90.00
_cell_angle_beta 90.00
_cell_angle_gamma 90.12
_symmetry_space_group_name_H-M 'P 1'
_symmetry_Int_Tables_number 1
_symmetry_space_group_name_Hall 'P 1'
loop_
_atom_site_label
_atom_site_type_symbol
_atom_site_fract_x
_atom_site_fract_y
_atom_site_fract_z
_atom_site_occupancy
Ba1 Ba 0.000 0.000 0.244 1
Ba2 Ba 0.000 0.000 0.756 1
Co1 Co 0.500 0.500 0.500 1
Ru1 Ru 0.500 0.500 0.000 1
```

---

2.
Material: BaCo2Ru
Method: DFT, GGA-PBE
State: optimized geometry

Its space group is I4_1/amd, No. 141. For the formation energy, the calculation gives 674 meV/atom. The total energy is -45.4 eV per cell. The value obtained for the offset from the most stable computed form is 0.402 eV per atom. For the size of the total moment, the calculation gives 3.0 Bohr magnetons per cell.

Cell and atoms, written as CIF:
```
data_BaCo2Ru
_chemical_formula_sum 'Ba2 Co4 Ru2'
_cell_length_a 8.458
_cell_length_b 8.458
_cell_length_c 8.458
_cell_angle_alpha 145.95
_cell_angle_beta 145.95
_cell_angle_gamma 48.93
_symmetry_space_group_name_H-M 'P 1'
_symmetry_Int_Tables_number 1
_symmetry_space_group_name_Hall 'P 1'
loop_
_atom_site_label
_atom_site_type_symbol
_atom_site_fract_x
_atom_site_fract_y
_atom_site_fract_z
_atom_site_occupancy
Ba1 Ba 0.375 0.625 0.750 1
Ba2 Ba 0.625 0.375 0.250 1
Co1 Co 0.000 0.000 0.000 1
Co2 Co 0.000 0.000 0.500 1
Co3 Co 0.000 0.500 0.000 1
Co4 Co 0.500 0.000 0.500 1
Ru1 Ru 0.125 0.875 0.250 1
Ru2 Ru 0.875 0.125 0.750 1
```

---

3.
Material: Ba2CoRu
Method: DFT, GGA-PBE
State: optimized geometry

Its space group is I-4m2, No. 119. For the formation energy, the calculation gives 963 meV/atom. The total energy is -16.4 eV per cell. The value obtained for the offset from the most stable computed form is 0.762 eV per atom. For the size of the total moment, the calculation gives 2.7 Bohr magnetons per cell.

Cell and atoms, written as CIF:
```
data_Ba2CoRu
_chemical_formula_sum 'Ba2 Co1 Ru1'
_cell_length_a 6.054
_cell_length_b 6.054
_cell_length_c 6.054
_cell_angle_alpha 135.55
_cell_angle_beta 135.55
_cell_angle_gamma 64.68
_symmetry_space_group_name_H-M 'P 1'
_symmetry_Int_Tables_number 1
_symmetry_space_group_name_Hall 'P 1'
loop_
_atom_site_label
_atom_site_type_symbol
_atom_site_fract_x
_atom_site_fract_y
_atom_site_fract_z
_atom_site_occupancy
Ba1 Ba 0.000 0.000 0.000 1
Ba2 Ba 0.750 0.250 0.500 1
Co1 Co 0.250 0.750 0.500 1
Ru1 Ru 0.500 0.500 0.000 1
```

---

4.
Material: BaCo2Ru
Method: DFT, GGA-PBE
State: optimized geometry

Its space group is Pmmm, No. 47. For the formation energy, the calculation gives 1159 meV/atom. The total energy is -20.8 eV per cell. The value obtained for the offset from the most stable computed form is 0.887 eV per atom. For the size of the total moment, the calculation gives 4.5 Bohr magnetons per cell.

Cell and atoms, written as CIF:
```
data_BaCo2Ru
_chemical_formula_sum 'Ba1 Co2 Ru1'
_cell_length_a 3.388
_cell_length_b 4.561
_cell_length_c 4.720
_cell_angle_alpha 90.00
_cell_angle_beta 90.00
_cell_angle_gamma 90.00
_symmetry_space_group_name_H-M 'P 1'
_symmetry_Int_Tables_number 1
_symmetry_space_group_name_Hall 'P 1'
loop_
_atom_site_label
_atom_site_type_symbol
_atom_site_fract_x
_atom_site_fract_y
_atom_site_fract_z
_atom_site_occupancy
Ba1 Ba 0.000 0.000 0.000 1
Co1 Co 0.000 0.500 0.500 1
Co2 Co 0.500 0.500 0.000 1
Ru1 Ru 0.500 0.000 0.500 1
```

---

5.
Material: Ba2CoRu
Method: DFT, GGA-PBE
State: optimized geometry

Its space group is C2/m, No. 12. For the formation energy, the calculation gives 1048 meV/atom. The total energy is -16.0 eV per cell. The value obtained for the offset from the most stable computed form is 0.847 eV per atom. For the size of the total moment, the calculation gives 2.5 Bohr magnetons per cell.

Cell and atoms, written as CIF:
```
data_Ba2CoRu
_chemical_formula_sum 'Ba2 Co1 Ru1'
_cell_length_a 4.849
_cell_length_b 4.849
_cell_length_c 7.363
_cell_angle_alpha 99.01
_cell_angle_beta 99.01
_cell_angle_gamma 43.03
_symmetry_space_group_name_H-M 'P 1'
_symmetry_Int_Tables_number 1
_symmetry_space_group_name_Hall 'P 1'
loop_
_atom_site_label
_atom_site_type_symbol
_atom_site_fract_x
_atom_site_fract_y
_atom_site_fract_z
_atom_site_occupancy
Ba1 Ba 0.248 0.248 0.245 1
Ba2 Ba 0.752 0.752 0.755 1
Co1 Co 0.000 0.000 0.500 1
Ru1 Ru 0.500 0.500 0.000 1
```

---

6.
Material: BaCo2Ru
Method: DFT, GGA-PBE
State: optimized geometry

Its space group is R3m, No. 160. For the formation energy, the calculation gives 282 meV/atom. The total energy is -24.3 eV per cell. The value obtained for the offset from the most stable computed form is 0.010 eV per atom. For the size of the total moment, the calculation gives 2.7 Bohr magnetons per cell.

Cell and atoms, written as CIF:
```
data_BaCo2Ru
_chemical_formula_sum 'Ba1 Co2 Ru1'
_cell_length_a 6.207
_cell_length_b 6.207
_cell_length_c 6.207
_cell_angle_alpha 39.16
_cell_angle_beta 39.16
_cell_angle_gamma 39.16
_symmetry_space_group_name_H-M 'P 1'
_symmetry_Int_Tables_number 1
_symmetry_space_group_name_Hall 'P 1'
loop_
_atom_site_label
_atom_site_type_symbol
_atom_site_fract_x
_atom_site_fract_y
_atom_site_fract_z
_atom_site_occupancy
Ba1 Ba 0.000 0.000 0.000 1
Co1 Co 0.499 0.499 0.499 1
Co2 Co 0.815 0.815 0.815 1
Ru1 Ru 0.187 0.187 0.187 1
```

---

7.
Material: BaCo2Ru
Method: DFT, GGA-PBE
State: optimized geometry

Its space group is Fm-3m, No. 225. For the formation energy, the calculation gives 1016 meV/atom. The total energy is -21.3 eV per cell. The value obtained for the offset from the most stable computed form is 0.744 eV per atom. For the size of the total moment, the calculation gives 4.1 Bohr magnetons per cell.

Cell and atoms, written as CIF:
```
data_BaCo2Ru
_chemical_formula_sum 'Ba1 Co2 Ru1'
_cell_length_a 4.670
_cell_length_b 4.670
_cell_length_c 4.670
_cell_angle_alpha 60.00
_cell_angle_beta 60.00
_cell_angle_gamma 60.00
_symmetry_space_group_name_H-M 'P 1'
_symmetry_Int_Tables_number 1
_symmetry_space_group_name_Hall 'P 1'
loop_
_atom_site_label
_atom_site_type_symbol
_atom_site_fract_x
_atom_site_fract_y
_atom_site_fract_z
_atom_site_occupancy
Ba1 Ba 0.000 0.000 0.000 1
Co1 Co 0.250 0.250 0.250 1
Co2 Co 0.750 0.750 0.750 1
Ru1 Ru 0.500 0.500 0.500 1
```

---

8.
Material: BaCo2Ru
Method: DFT, GGA-PBE
State: optimized geometry

Its space group is P4mm, No. 99. For the formation energy, the calculation gives 657 meV/atom. The total energy is -22.8 eV per cell. The value obtained for the offset from the most stable computed form is 0.386 eV per atom. For the size of the total moment, the calculation gives 4.5 Bohr magnetons per cell.

Cell and atoms, written as CIF:
```
data_BaCo2Ru
_chemical_formula_sum 'Ba1 Co2 Ru1'
_cell_length_a 3.149
_cell_length_b 3.149
_cell_length_c 7.497
_cell_angle_alpha 90.00
_cell_angle_beta 90.00
_cell_angle_gamma 90.00
_symmetry_space_group_name_H-M 'P 1'
_symmetry_Int_Tables_number 1
_symmetry_space_group_name_Hall 'P 1'
loop_
_atom_site_label
_atom_site_type_symbol
_atom_site_fract_x
_atom_site_fract_y
_atom_site_fract_z
_atom_site_occupancy
Ba1 Ba 0.000 0.000 0.000 1
Co1 Co 0.000 0.000 0.485 1
Co2 Co 0.500 0.500 0.347 1
Ru1 Ru 0.500 0.500 0.666 1
```

---

What did the second record say?
Material: BaCo2Ru
Method: DFT, GGA-PBE
State: optimized geometry

Its space group is I4_1/amd, No. 141. For the formation energy, the calculation gives 674 meV/atom. The total energy is -45.4 eV per cell. The value obtained for the offset from the most stable computed form is 0.402 eV per atom. For the size of the total moment, the calculation gives 3.0 Bohr magnetons per cell.

Cell and atoms, written as CIF:
```
data_BaCo2Ru
_chemical_formula_sum 'Ba2 Co4 Ru2'
_cell_length_a 8.458
_cell_length_b 8.458
_cell_length_c 8.458
_cell_angle_alpha 145.95
_cell_angle_beta 145.95
_cell_angle_gamma 48.93
_symmetry_space_group_name_H-M 'P 1'
_symmetry_Int_Tables_number 1
_symmetry_space_group_name_Hall 'P 1'
loop_
_atom_site_label
_atom_site_type_symbol
_atom_site_fract_x
_atom_site_fract_y
_atom_site_fract_z
_atom_site_occupancy
Ba1 Ba 0.375 0.625 0.750 1
Ba2 Ba 0.625 0.375 0.250 1
Co1 Co 0.000 0.000 0.000 1
Co2 Co 0.000 0.000 0.500 1
Co3 Co 0.000 0.500 0.000 1
Co4 Co 0.500 0.000 0.500 1
Ru1 Ru 0.125 0.875 0.250 1
Ru2 Ru 0.875 0.125 0.750 1
```

---

Q: Which formula does entry 2 have?
A: BaCo2Ru